The following is a PBE calculation of a geometry-optimized KTmTeS structure, from the Alexandria database.

Cell and atoms, written as CIF:
```
data_KTmTeS
_space_group_name_H-M_alt 'R 3 m'
_space_group_IT_number 160
_space_group_name_Hall 'R 3 -2"'
_cell_length_a 4.1780
_cell_length_b 4.1780
_cell_length_c 24.1416
_cell_angle_alpha 90.00
_cell_angle_beta 90.00
_cell_angle_gamma 120.00
loop_
_atom_site_label
_atom_site_type_symbol
_atom_site_fract_x
_atom_site_fract_y
_atom_site_fract_z
K1 K 0.0000 0.0000 0.0000
Tm1 Tm 0.0000 0.0000 0.1549
Te1 Te 0.0000 0.0000 0.5647
S1 S 0.0000 0.0000 0.7648
```

## Properties
Total magnetic moment, μB per formula unit: 0.0
Raw formation energy, meV per atom: -1559
Electronic total energy, eV per cell: -57.22

The following is a PBE calculation of a geometry-optimized K3U3TeS8 structure, from the Alexandria database.

Cell and atoms, written as CIF:
```
data_K3U3TeS8
_space_group_name_H-M_alt 'C 1 2/m 1'
_space_group_IT_number 12
_space_group_name_Hall '-C 2y'
_cell_length_a 13.6688
_cell_length_b 8.4352
_cell_length_c 8.5705
_cell_angle_alpha 90.00
_cell_angle_beta 121.04
_cell_angle_gamma 90.00
loop_
_atom_site_label
_atom_site_type_symbol
_atom_site_fract_x
_atom_site_fract_y
_atom_site_fract_z
K1 K 0.0000 0.0000 0.0000
K2 K 0.2500 0.2500 0.0000
U1 U 0.0000 0.5000 0.5000
U2 U 0.2500 0.2500 0.5000
Te1 Te 0.0000 0.0000 0.5000
S1 S 0.0276 0.2985 0.2820
S2 S 0.2316 0.0000 0.6912
S3 S 0.2365 0.5000 0.7040
```

## Properties
Total magnetic moment, μB per formula unit: 6.0
Raw formation energy, meV per atom: -1117
Electronic total energy, eV per cell: -180.14

The following is a PBE calculation of a geometry-optimized K2UTeS2 structure, from the Alexandria database.

Cell and atoms, written as CIF:
```
data_K2UTeS2
_space_group_name_H-M_alt 'P 4/m m m'
_space_group_IT_number 123
_space_group_name_Hall '-P 4 2'
_cell_length_a 5.3197
_cell_length_b 5.3197
_cell_length_c 6.5308
_cell_angle_alpha 90.00
_cell_angle_beta 90.00
_cell_angle_gamma 90.00
loop_
_atom_site_label
_atom_site_type_symbol
_atom_site_fract_x
_atom_site_fract_y
_atom_site_fract_z
K1 K 0.0000 0.0000 0.2322
U1 U 0.5000 0.5000 0.5000
Te1 Te 0.5000 0.5000 0.0000
S1 S 0.0000 0.5000 0.5000
```

## Properties
Total magnetic moment, μB per formula unit: 2.0
Raw formation energy, meV per atom: -1126
Electronic total energy, eV per cell: -31.64

The following is a PBE calculation of a geometry-optimized KUTeS6 structure, from the Alexandria database.

Cell and atoms, written as CIF:
```
data_KUTeS6
_space_group_name_H-M_alt 'I m m a'
_space_group_IT_number 74
_space_group_name_Hall '-I 2b 2'
_cell_length_a 9.1636
_cell_length_b 9.6569
_cell_length_c 13.3028
_cell_angle_alpha 90.00
_cell_angle_beta 90.00
_cell_angle_gamma 90.00
loop_
_atom_site_label
_atom_site_type_symbol
_atom_site_fract_x
_atom_site_fract_y
_atom_site_fract_z
K1 K 0.0000 0.2500 0.0800
U1 U 0.0000 0.0000 0.5000
Te1 Te 0.2500 0.2500 0.7500
S1 S 0.0000 0.2500 0.4363
S2 S 0.0000 0.2500 0.8336
S3 S 0.2034 0.0492 0.6239
```

## Properties
Total magnetic moment, μB per formula unit: 0.0
Raw formation energy, meV per atom: -518
Electronic total energy, eV per cell: -179.82

The following is a PBE calculation of a geometry-optimized KUTeS structure, from the Alexandria database.

Cell and atoms, written as CIF:
```
data_KUTeS
_space_group_name_H-M_alt 'R 3 m'
_space_group_IT_number 160
_space_group_name_Hall 'R 3 -2"'
_cell_length_a 4.1756
_cell_length_b 4.1756
_cell_length_c 24.6771
_cell_angle_alpha 90.00
_cell_angle_beta 90.00
_cell_angle_gamma 120.00
loop_
_atom_site_label
_atom_site_type_symbol
_atom_site_fract_x
_atom_site_fract_y
_atom_site_fract_z
K1 K 0.0000 0.0000 0.0000
U1 U 0.0000 0.0000 0.1548
Te1 Te 0.0000 0.0000 0.5671
S1 S 0.0000 0.0000 0.7624
```

## Properties
Total magnetic moment, μB per formula unit: 3.0
Raw formation energy, meV per atom: -1057
Electronic total energy, eV per cell: -71.65

The following is a PBE calculation of a geometry-optimized K2UTeS6 structure, from the Alexandria database.

Cell and atoms, written as CIF:
```
data_K2UTeS6
_space_group_name_H-M_alt 'R 3'
_space_group_IT_number 146
_space_group_name_Hall 'R 3'
_cell_length_a 7.2780
_cell_length_b 7.2780
_cell_length_c 17.4451
_cell_angle_alpha 90.00
_cell_angle_beta 90.00
_cell_angle_gamma 120.00
loop_
_atom_site_label
_atom_site_type_symbol
_atom_site_fract_x
_atom_site_fract_y
_atom_site_fract_z
K1 K 0.0000 0.0000 0.0000
K2 K 0.0000 0.0000 0.4988
U1 U 0.0000 0.0000 0.7495
Te1 Te 0.0000 0.0000 0.2492
S1 S 0.0074 0.4412 0.4989
S2 S 0.1086 0.7672 0.3339
```

## Properties
Total magnetic moment, μB per formula unit: 0.0
Raw formation energy, meV per atom: -806
Electronic total energy, eV per cell: -148.34